The following is a GGA-PBE calculation of an optimized crystal structure of PuTiCl6, from Alexandria.

```
PuTiCl6
1.0
6.4090 0.0000 0.0000
0.0000 12.4135 0.0000
-1.8411 0.0000 6.1109
Pu Ti Cl
2 2 12
Cartesian
0.0000 0.0000 0.0000
3.2045 6.2067 0.0000
-0.9206 6.2067 3.0554
2.2839 0.0000 3.0554
0.0863 4.4797 4.4410
0.0863 7.9338 4.4410
1.0264 6.2067 1.6402
0.3370 0.0000 4.4707
1.2771 1.7271 1.6699
1.2771 10.6864 1.6699
3.2908 1.7271 4.4410
3.2908 10.6864 4.4410
4.2309 0.0000 1.6402
3.5415 6.2067 4.4707
4.4816 4.4797 1.6699
4.4816 7.9338 1.6699
```

Raw formation energy (eV per atom): -1.720
Total energy (eV per atom): -5.883
Size of the total moment (μB/cell): 12.0

***

The following is a GGA-PBE calculation of an optimized crystal structure of AlSiSnRh2, from Alexandria.

```
AlSiSnRh2
1.0
4.8918 0.0000 0.0000
0.0000 4.8918 0.0000
0.0000 0.0000 4.9105
Al Si Sn Rh
1 1 1 2
Cartesian
0.0000 0.0000 0.0000
2.4459 2.4459 0.0000
0.0000 0.0000 2.4553
0.0000 2.4459 2.4553
2.4459 0.0000 2.4553
```

Raw formation energy (eV per atom): 1.179
Total energy (eV per atom): -4.395
Size of the total moment (μB/cell): 0.0

***

The following is a GGA-PBE calculation of an optimized crystal structure of Ta2AsRu, from Alexandria.

```
Ta2AsRu
1.0
2.9333 0.0000 0.0000
-1.4666 2.5403 0.0000
0.0000 0.0000 26.6856
Ta As Ru
6 3 3
Cartesian
0.0000 0.0000 6.6463
0.0000 0.0000 20.0393
0.0000 1.6935 11.1441
0.0000 1.6935 24.4367
1.4666 0.8468 2.2489
1.4666 0.8468 15.5415
0.0000 0.0000 0.0000
0.0000 1.6935 17.7904
1.4666 0.8468 8.8952
0.0000 0.0000 13.3428
0.0000 1.6935 4.4476
1.4666 0.8468 22.2380
```

ΔE_f (eV per atom): 0.0538
Total energy (eV per atom): -9.354
Size of the total moment (μB/cell): 0.5